No. 1
{"formula": "La2NdPt", "functional": "GGA-PBE", "state": "optimized geometry", "lattice": [[2.008, 1.159, 9.699], [-2.008, 1.159, 9.699], [0.000, -2.318, 9.699]], "species": ["La", "La", "Nd", "Pt"], "frac_coords": [[0.228, 0.228, 0.228], [0.772, 0.772, 0.772], [0.000, 0.000, 0.000], [0.500, 0.500, 0.500]], "de_polymorph_ev_per_atom": 0.126, "space_group": "R-3m, No. 166", "formation_enthalpy_0k_ev_per_atom": -0.5079, "m_tot_mub_per_fu": 0.0}


No. 2
{"formula": "LaNd2Pt", "functional": "GGA-PBE", "state": "optimized geometry", "lattice": [[1.919, 1.108, 10.882], [-1.919, 1.108, 10.882], [0.000, -2.216, 10.882]], "species": ["La", "Nd", "Nd", "Pt"], "frac_coords": [[0.000, 0.000, 0.000], [0.110, 0.110, 0.110], [0.890, 0.890, 0.890], [0.500, 0.500, 0.500]], "de_polymorph_ev_per_atom": 0.333, "space_group": "R-3m, No. 166", "formation_enthalpy_0k_ev_per_atom": -0.3003, "m_tot_mub_per_fu": 0.4}


No. 3
{"formula": "La2NdPt9", "functional": "GGA-PBE", "state": "optimized geometry", "lattice": [[2.741, 1.583, 9.013], [-2.741, 1.583, 9.013], [0.000, -3.165, 9.013]], "species": ["La", "La", "Nd", "Pt", "Pt", "Pt", "Pt", "Pt", "Pt", "Pt", "Pt", "Pt"], "frac_coords": [[0.139, 0.139, 0.139], [0.861, 0.861, 0.861], [0.000, 0.000, 0.000], [0.081, 0.585, 0.585], [0.333, 0.333, 0.333], [0.415, 0.415, 0.919], [0.415, 0.919, 0.415], [0.500, 0.500, 0.500], [0.585, 0.081, 0.585], [0.585, 0.585, 0.081], [0.667, 0.667, 0.667], [0.919, 0.415, 0.415]], "space_group": "R-3m, No. 166", "formation_enthalpy_0k_ev_per_atom": -0.9370, "m_tot_mub_per_fu": 0.0}


No. 4
{"formula": "LaNd2Pt", "functional": "GGA-PBE", "state": "optimized geometry", "lattice": [[7.296, 0.000, 0.000], [0.000, 10.123, 0.000], [0.000, 0.000, 6.729]], "species": ["La", "La", "La", "La", "Nd", "Nd", "Nd", "Nd", "Nd", "Nd", "Nd", "Nd", "Pt", "Pt", "Pt", "Pt"], "frac_coords": [[0.027, 0.250, 0.141], [0.473, 0.750, 0.641], [0.527, 0.250, 0.359], [0.973, 0.750, 0.859], [0.176, 0.063, 0.671], [0.176, 0.437, 0.671], [0.324, 0.563, 0.171], [0.324, 0.937, 0.171], [0.676, 0.063, 0.829], [0.676, 0.437, 0.829], [0.824, 0.563, 0.329], [0.824, 0.937, 0.329], [0.120, 0.750, 0.435], [0.380, 0.250, 0.935], [0.620, 0.750, 0.065], [0.880, 0.250, 0.565]], "de_polymorph_ev_per_atom": 0.000, "space_group": "Pnma, No. 62", "formation_enthalpy_0k_ev_per_atom": -0.6337, "m_tot_mub_per_fu": 0.0}


no.,energy (eV/cell)
1,-22.69
2,-21.71
3,-80.23
4,-92.15